# 1
Density functional theory data (GGA-PBE) for a relaxed structure of ThPaNi2.

abc: 3.447 3.447 6.806
angles: 90.00 90.00 90.00
Positions (direct):
Ni: 0.000 0.000 0.701
Ni: 0.000 0.000 0.299
Th: 0.500 0.500 0.000
Pa: 0.500 0.500 0.500

Results
Its crystal system is tetragonal.


# 2
Density functional theory data (GGA-PBE) for a relaxed structure of ThPaNi2.

abc: 4.489 4.489 5.414
angles: 65.51 65.51 60.00
Positions (direct):
Ni: 0.775 0.775 0.675
Ni: 0.225 0.225 0.325
Pa: 0.500 0.500 0.500
Th: 0.000 0.000 0.000

Results
Its crystal system is trigonal.


# 3
Density functional theory data (GGA-PBE) for a relaxed structure of ThPaNi2.

abc: 4.229 5.819 6.926
angles: 102.31 90.00 90.00
Positions (direct):
Ni: 0.250 0.631 0.540
Ni: 0.750 0.206 0.827
Ni: 0.750 0.369 0.460
Ni: 0.250 0.794 0.173
Th: 0.750 0.711 0.867
Th: 0.250 0.289 0.133
Pa: 0.750 0.843 0.411
Pa: 0.250 0.157 0.589

Results
Its crystal system is monoclinic.


# 4
Density functional theory data (GGA-PBE) for a relaxed structure of Th3PaNi7.

abc: 3.886 10.199 10.451
angles: 90.00 90.00 100.98
Positions (direct):
Ni: 0.477 0.954 0.895
Ni: 0.397 0.794 0.127
Ni: 0.477 0.954 0.605
Ni: 0.719 0.439 0.546
Ni: 0.603 0.206 0.873
Ni: 0.397 0.794 0.373
Ni: 0.281 0.561 0.046
Ni: 0.603 0.206 0.627
Ni: 0.523 0.046 0.105
Ni: 0.376 0.752 0.750
Ni: 0.281 0.561 0.454
Ni: 0.624 0.248 0.250
Ni: 0.719 0.439 0.954
Ni: 0.523 0.046 0.395
Th: 0.220 0.440 0.750
Th: 0.130 0.261 0.064
Th: 0.780 0.560 0.250
Th: 0.870 0.739 0.564
Th: 0.870 0.739 0.936
Th: 0.130 0.261 0.436
Pa: 0.033 0.066 0.750
Pa: 0.967 0.934 0.250

Results
Its crystal system is orthorhombic.


# 5
Density functional theory data (GGA-PBE) for a relaxed structure of ThPaNi.

abc: 3.598 3.598 6.368
angles: 90.00 90.00 120.00
Positions (direct):
Ni: 0.667 0.333 0.348
Pa: 0.333 0.667 0.613
Th: 0.000 0.000 0.039

Results
Its crystal system is trigonal.


# 6
Density functional theory data (GGA-PBE) for a relaxed structure of ThPaNi2.

abc: 3.553 4.028 5.909
angles: 90.00 107.49 90.00
Positions (direct):
Th: 0.735 0.000 0.008
Ni: 0.145 0.500 0.827
Ni: 0.005 0.000 0.552
Pa: 0.446 0.500 0.431

Results
Its crystal system is monoclinic.


# 7
Density functional theory data (GGA-PBE) for a relaxed structure of ThPaNi.

abc: 4.169 4.169 9.871
angles: 77.79 102.21 119.96
Positions (direct):
Pa: 0.140 0.860 0.419
Pa: 0.860 0.140 0.581
Ni: 0.244 0.756 0.731
Ni: 0.756 0.244 0.269
Th: 0.374 0.626 0.124
Th: 0.626 0.374 0.876

Results
Its crystal system is trigonal.


# 8
Density functional theory data (GGA-PBE) for a relaxed structure of Th2PaNi9.

abc: 4.958 4.958 8.884
angles: 73.80 73.80 60.00
Positions (direct):
Ni: 0.920 0.419 0.241
Ni: 0.419 0.419 0.241
Ni: 0.581 0.581 0.759
Ni: 0.500 0.500 0.500
Ni: 0.080 0.581 0.759
Ni: 0.333 0.333 0.000
Ni: 0.419 0.920 0.241
Ni: 0.667 0.667 0.000
Ni: 0.581 0.080 0.759
Pa: 0.000 0.000 0.000
Th: 0.136 0.136 0.593
Th: 0.864 0.864 0.407

Results
Its crystal system is trigonal.


# 9
Density functional theory data (GGA-PBE) for a relaxed structure of PaTiNi.

abc: 3.717 4.218 4.218
angles: 120.00 90.00 90.00
Positions (direct):
Pa: 0.667 0.333 0.667
Ni: 0.167 0.667 0.333
Ti: 0.167 0.000 0.000

Results
Its crystal system is hexagonal.


# 10
Density functional theory data (GGA-PBE) for a relaxed structure of PaTiNi.

abc: 2.875 4.998 7.595
angles: 90.00 90.00 90.00
Positions (direct):
Pa: 0.500 0.500 0.565
Pa: 0.000 0.000 0.435
Ti: 0.000 0.500 0.186
Ti: 0.500 0.000 0.814
Ni: 0.000 0.000 0.085
Ni: 0.500 0.500 0.915

Results
Its crystal system is orthorhombic.


# 11
Density functional theory data (GGA-PBE) for a relaxed structure of PaTiNi2.

abc: 4.240 4.239 5.033
angles: 65.05 65.08 59.99
Positions (direct):
Ni: 0.289 0.788 0.635
Ni: 0.711 0.212 0.365
Ti: 0.000 0.500 0.500
Pa: 0.500 0.000 0.000

Results
Its crystal system is trigonal.


# 12
Density functional theory data (GGA-PBE) for a relaxed structure of PaTi2Ni.

abc: 4.599 4.599 4.603
angles: 60.03 60.03 60.00
Positions (direct):
Ni: 0.750 0.750 0.750
Ti: 0.250 0.250 0.250
Ti: 0.000 0.000 0.000
Pa: 0.500 0.500 0.500

Results
Its crystal system is cubic.


# 13
Density functional theory data (GGA-PBE) for a relaxed structure of PaTiNi.

abc: 5.224 5.224 5.224
angles: 94.51 115.60 119.29
Positions (direct):
Ti: 0.500 0.500 0.000
Ti: 0.000 0.500 0.500
Pa: 0.250 0.116 0.366
Pa: 0.750 0.884 0.634
Ni: 0.000 0.500 0.000
Ni: 0.500 0.000 0.000

Results
Its crystal system is orthorhombic.


# 14
Density functional theory data (GGA-PBE) for a relaxed structure of PaTi2Ni.

abc: 3.016 3.016 7.660
angles: 90.00 90.00 90.00
Positions (direct):
Ni: 0.500 0.500 0.000
Ti: 0.000 0.000 0.801
Ti: 0.000 0.000 0.199
Pa: 0.500 0.500 0.500

Results
Its crystal system is tetragonal.


# 15
Density functional theory data (GGA-PBE) for a relaxed structure of PaTi2Ni.

abc: 4.543 4.543 4.544
angles: 60.00 60.00 60.00
Positions (direct):
Pa: 0.500 0.500 0.500
Ti: 0.750 0.750 0.750
Ti: 0.250 0.250 0.250
Ni: 0.000 0.000 0.000

Results
Its crystal system is cubic.


# 16
Density functional theory data (GGA-PBE) for a relaxed structure of PaTiNi2.

abc: 3.076 3.076 6.707
angles: 90.00 90.00 90.00
Positions (direct):
Pa: 0.500 0.500 0.500
Ni: 0.000 0.000 0.201
Ni: 0.000 0.000 0.799
Ti: 0.500 0.500 0.000

Results
Its crystal system is tetragonal.


# 17
Density functional theory data (GGA-PBE) for a relaxed structure of PaTi2Ni3.

abc: 4.358 5.135 5.135
angles: 120.00 90.00 90.00
Positions (direct):
Pa: 0.000 0.000 0.000
Ni: 0.000 0.000 0.500
Ni: 0.000 0.500 0.500
Ni: 0.000 0.500 0.000
Ti: 0.500 0.667 0.333
Ti: 0.500 0.333 0.667

Results
Its crystal system is hexagonal.


# 18
Density functional theory data (GGA-PBE) for a relaxed structure of Pa2TiNi.

abc: 3.477 3.477 6.778
angles: 90.00 90.00 90.00
Positions (direct):
Ti: 0.500 0.500 0.500
Pa: 0.000 0.000 0.783
Pa: 0.000 0.000 0.217
Ni: 0.500 0.500 0.000

Results
Its crystal system is tetragonal.


# 19
Density functional theory data (GGA-PBE) for a relaxed structure of PaTiNi2.

abc: 3.014 3.014 8.557
angles: 79.86 79.86 60.00
Positions (direct):
Ni: 0.738 0.738 0.787
Ni: 0.262 0.262 0.213
Ti: 0.000 0.000 0.000
Pa: 0.500 0.500 0.500

Results
Its crystal system is trigonal.


# 20
Density functional theory data (GGA-PBE) for a relaxed structure of PaTiNi2.

abc: 4.196 5.219 6.497
angles: 115.30 90.00 90.00
Positions (direct):
Ni: 0.250 0.639 0.095
Ni: 0.750 0.333 0.478
Ni: 0.750 0.361 0.905
Ni: 0.250 0.667 0.522
Ti: 0.750 0.771 0.337
Ti: 0.250 0.229 0.663
Pa: 0.750 0.830 0.841
Pa: 0.250 0.170 0.159

Results
Its crystal system is monoclinic.


# 21
Density functional theory data (GGA-PBE) for a relaxed structure of PaTlNi2.

abc: 4.666 4.666 4.666
angles: 60.00 60.00 60.00
Positions (direct):
Ni: 0.750 0.750 0.750
Ni: 0.250 0.250 0.250
Tl: 0.000 0.000 0.000
Pa: 0.500 0.500 0.500

Results
Its crystal system is cubic.


# 22
Density functional theory data (GGA-PBE) for a relaxed structure of PaTlNi.

abc: 3.465 9.208 9.208
angles: 90.00 90.00 90.00
Positions (direct):
Pa: 0.500 0.713 0.544
Pa: 0.000 0.544 0.287
Pa: 0.000 0.456 0.713
Pa: 0.500 0.287 0.456
Ni: 0.500 0.756 0.256
Ni: 0.000 0.744 0.756
Ni: 0.500 0.244 0.744
Ni: 0.000 0.256 0.244
Tl: 0.500 0.318 0.024
Tl: 0.000 0.024 0.682
Tl: 0.000 0.976 0.318
Tl: 0.500 0.682 0.976

Results
Its crystal system is tetragonal.


# 23
Density functional theory data (GGA-PBE) for a relaxed structure of PaTlNi.

abc: 4.571 4.571 4.571
angles: 60.00 60.00 60.00
Positions (direct):
Pa: 0.000 0.000 0.000
Tl: 0.500 0.500 0.500
Ni: 0.250 0.250 0.250

Results
Its crystal system is cubic.


# 24
Density functional theory data (GGA-PBE) for a relaxed structure of TmPaNi2.

abc: 4.737 4.737 4.737
angles: 60.00 60.00 60.00
Positions (direct):
Pa: 0.500 0.500 0.500
Tm: 0.000 0.000 0.000
Ni: 0.750 0.750 0.750
Ni: 0.250 0.250 0.250

Results
Its crystal system is cubic.


# 25
Density functional theory data (GGA-PBE) for a relaxed structure of TmPaNi6.

abc: 4.195 5.066 5.429
angles: 90.00 90.00 90.00
Positions (direct):
Ni: 0.500 0.258 0.000
Ni: 0.000 0.145 0.237
Ni: 0.500 0.858 0.727
Ni: 0.000 0.736 0.500
Ni: 0.500 0.858 0.273
Ni: 0.000 0.145 0.763
Tm: 0.000 0.641 0.000
Pa: 0.500 0.358 0.500

Results
Its crystal system is orthorhombic.


# 26
Density functional theory data (GGA-PBE) for a relaxed structure of TmPaNi2.

abc: 3.361 3.361 6.738
angles: 90.00 90.00 90.00
Positions (direct):
Ni: 0.000 0.000 0.276
Ni: 0.000 0.000 0.724
Tm: 0.500 0.500 0.000
Pa: 0.500 0.500 0.500

Results
Its crystal system is tetragonal.


# 27
Density functional theory data (GGA-PBE) for a relaxed structure of Tm2PaNi9.

abc: 4.912 4.912 8.596
angles: 73.40 73.40 60.00
Positions (direct):
Ni: 0.334 0.334 0.999
Ni: 0.416 0.919 0.249
Ni: 0.416 0.416 0.249
Ni: 0.500 0.500 0.500
Ni: 0.584 0.584 0.751
Ni: 0.666 0.666 0.001
Ni: 0.919 0.416 0.249
Ni: 0.584 0.081 0.751
Ni: 0.081 0.584 0.751
Tm: 0.140 0.140 0.581
Tm: 0.860 0.860 0.419
Pa: 0.000 0.000 0.000

Results
Its crystal system is trigonal.


Calculated calculated formation energy, -0.2375, -0.2272, -0.3079, -0.3920, -0.0696, -0.3579, -0.0642, -0.4048, 0.0567, 0.1918, -0.2616, -0.0379, -0.1874, -0.1039, 0.0831, -0.3041, -0.2271, 0.0765, 0.0068, -0.3569, -0.1210, 0.1220, -0.0785, -0.2667, -0.4071, -0.3133, -0.4574 eV/atom (same order as the records).
Calculated electronic total energy, -7.3571, -7.3468, -7.4275, -6.9579, -7.6353, -7.4775, -7.6299, -6.7688, -7.6674, -7.5322, -7.5000, -7.8046, -7.9115, -7.8707, -7.6836, -7.5424, -7.3320, -8.0905, -7.2315, -7.5953, -5.9772, -5.7592, -5.9596, -6.6492, -6.4891, -6.6958, -6.3300 eV per atom (same order as the records).